Record 1
# PBEsol YZr2Os, relaxed
data_YZr2Os
_chemical_formula_sum 'Y2 Zr4 Os2'
_space_group_name_H-M_alt 'I m m m'
_space_group_IT_number 71
_space_group_name_Hall '-I 2 2'
_cell_length_a 3.328
_cell_length_b 5.030
_cell_length_c 10.183
_cell_angle_alpha 90.00
_cell_angle_beta 90.00
_cell_angle_gamma 90.00
loop_
_atom_site_label
_atom_site_fract_x
_atom_site_fract_y
_atom_site_fract_z
Y1 0.000 0.000 0.000
Zr1 0.000 0.500 0.210
Os1 0.000 0.000 0.500
# Volume, A^3/atom: 21.305
# Offset from the most stable computed form, meV per atom: 0
# Calculated total energy, eV per atom: -9.52
# Energy relative to the elements, meV/atom: -215
# DOS(E_F), states/eV/f.u.: 2.64

***

Record 2
# PBEsol Tc2HgRh, relaxed
data_Tc2HgRh
_chemical_formula_sum 'Tc2 Hg1 Rh1'
_space_group_name_H-M_alt 'P 1 m 1'
_space_group_IT_number 6
_cell_length_a 2.785
_cell_length_b 4.203
_cell_length_c 5.457
_cell_angle_alpha 90.00
_cell_angle_beta 104.92
_cell_angle_gamma 90.00
loop_
_space_group_symop_operation_xyz
'x,y,z'
'x,-y,z'
loop_
_atom_site_label
_atom_site_fract_x
_atom_site_fract_y
_atom_site_fract_z
Tc1 0.000 0.000 0.000
Tc2 0.107 0.500 0.220
Hg1 0.742 0.000 0.487
Rh1 0.385 0.500 0.774
# Volume, A^3/atom: 15.429
# Calculated total energy, eV per atom: -7.46
# Energy relative to the elements, meV/atom: 349
# DOS(E_F), states/eV/f.u.: 3.15

***

Record 3
# PBEsol MnAl, relaxed
data_MnAl
_chemical_formula_sum 'Mn6 Al6'
_space_group_name_H-M_alt 'R -3 m'
_space_group_IT_number 166
_space_group_name_Hall '-R 3 2"'
_cell_length_a 2.6548
_cell_length_b 2.6548
_cell_length_c 24.6176
_cell_angle_alpha 90.00
_cell_angle_beta 90.00
_cell_angle_gamma 120.00
loop_
_atom_site_label
_atom_site_fract_x
_atom_site_fract_y
_atom_site_fract_z
Mn1 0.0000 0.0000 0.1311
Al1 0.0000 0.0000 0.3820
# Volume, A^3/atom: 12.522
# Calculated total energy, eV per atom: -6.94
# Energy relative to the elements, meV/atom: -9
# DOS(E_F), states/eV/f.u.: 1.51

***

Repeat the first record exactly.
# PBEsol YZr2Os, relaxed
data_YZr2Os
_chemical_formula_sum 'Y2 Zr4 Os2'
_space_group_name_H-M_alt 'I m m m'
_space_group_IT_number 71
_space_group_name_Hall '-I 2 2'
_cell_length_a 3.328
_cell_length_b 5.030
_cell_length_c 10.183
_cell_angle_alpha 90.00
_cell_angle_beta 90.00
_cell_angle_gamma 90.00
loop_
_atom_site_label
_atom_site_fract_x
_atom_site_fract_y
_atom_site_fract_z
Y1 0.000 0.000 0.000
Zr1 0.000 0.500 0.210
Os1 0.000 0.000 0.500
# Volume, A^3/atom: 21.305
# Offset from the most stable computed form, meV per atom: 0
# Calculated total energy, eV per atom: -9.52
# Energy relative to the elements, meV/atom: -215
# DOS(E_F), states/eV/f.u.: 2.64